(1)
Density functional theory data (PBE) for a geometry-optimized TbUSe structure.

The structure belongs to space group Cmcm (No. 63); the cell edges are 3.631, 18.613 and 4.426 Å and the angles 90.00°, 90.00° and 90.00°. The distinct sites, in fractional coordinates, are Tb at (0.000, 0.148, 0.250), U at (0.000, 0.468, 0.250) and Se at (0.000, 0.314, 0.250).

As for the raw formation energy: -0.76 eV/atom. For the density of states at the Fermi level, the calculation gives 1.1731 states/eV/atom.



(2)
Density functional theory data (PBE) for a geometry-optimized Tb3U2Se6 structure.

The structure belongs to space group R-3m (No. 166, hexagonal axes); the cell edges are 4.0803, 4.0803 and 60.6265 Å and the angles 90.00°, 90.00° and 120.00°. The distinct sites, in fractional coordinates, are Tb at (0.0000, 0.0000, 0.0000), Tb at (0.0000, 0.0000, 0.2774), U at (0.0000, 0.0000, 0.4447), Se at (0.0000, 0.0000, 0.0831), Se at (0.0000, 0.0000, 0.1963) and Se at (0.0000, 0.0000, 0.3611).

As for the raw formation energy: -1.47 eV/atom. For the density of states at the Fermi level, the calculation gives 1.0094 states/eV/atom.